Material: Sr2CrPt
Method: DFT, PBE
State: relaxed

Summary:
Magnetization = 1.108 μB per atom
Space-group type = Amm2 (38)
Energy above the lowest structure with this stoichiometry = 64 meV/atom
Energy relative to the elements = -0.1562 eV/atom

Cell: 4.419 6.276 6.276 Å, 43.84 90.00 90.00°
Fractional coordinates of all 4 atoms:
Sr 0.000 0.000 0.000
Sr 0.500 0.286 0.286
Cr 0.000 0.696 0.696
Pt 0.500 0.586 0.586



Material: SrCrPt
Method: DFT, PBE
State: relaxed

Summary:
Magnetization = 0.000 μB per atom
Space-group type = P-1 (2)
Energy above the lowest structure with this stoichiometry = 80 meV/atom
Energy relative to the elements = -0.1078 eV/atom

Cell: 4.409 4.412 9.943 Å, 102.59 90.07 119.93°
Fractional coordinates of all 6 atoms:
Sr 0.235 0.468 0.199
Sr 0.765 0.532 0.801
Cr 0.032 0.067 0.598
Cr 0.968 0.933 0.402
Pt 0.359 0.718 0.578
Pt 0.641 0.282 0.422



Material: SrCrPt
Method: DFT, PBE
State: relaxed

Summary:
Magnetization = 0.000 μB per atom
Space-group type = Pnma (62)
Energy above the lowest structure with this stoichiometry = 414 meV/atom
Energy relative to the elements = 0.2263 eV/atom

Cell: 5.855 4.360 11.029 Å, 90.00 90.00 90.00°
Fractional coordinates of all 12 atoms:
Sr 0.117 0.250 0.134
Sr 0.383 0.750 0.634
Sr 0.617 0.250 0.366
Sr 0.883 0.750 0.866
Cr 0.113 0.750 0.350
Cr 0.387 0.250 0.850
Cr 0.613 0.750 0.150
Cr 0.887 0.250 0.650
Pt 0.112 0.250 0.442
Pt 0.388 0.750 0.942
Pt 0.612 0.250 0.058
Pt 0.888 0.750 0.558